Entry 1:
Computed, not measured: Li2ScZn2 after structural relaxation at the GGA-PBE level of DFT.

Cell lengths 7.4814, 7.4814, 2.9312 Å; angles 90.00, 90.00, 90.00 degrees
Closest atoms and distances in Å follow each position.
Atoms (fractional coordinates):
Li 0.1178 0.3822 0.0000  1 Li 2.49, 6 Zn 2.57-2.73
Li 0.3822 0.8822 0.0000  1 Li 2.49, 6 Zn 2.57-2.73
Li 0.6178 0.1178 0.0000  1 Li 2.49, 6 Zn 2.57-2.73
Li 0.8822 0.6178 0.0000  1 Li 2.49, 6 Zn 2.57-2.73
Sc 0.0000 0.0000 0.0000  2 Sc 2.93, 4 Li 2.99, 8 Zn 3.11
Sc 0.5000 0.5000 0.0000  2 Sc 2.93, 4 Li 2.99, 8 Zn 3.11
Zn 0.1826 0.6826 0.5000  6 Li 2.57-2.73
Zn 0.3174 0.1826 0.5000  6 Li 2.57-2.73
Zn 0.6826 0.8174 0.5000  6 Li 2.57-2.73
Zn 0.8174 0.3174 0.5000  6 Li 2.57-2.73

## Properties
SG = P4/mbm, No. 127
DOS at the Fermi energy = 5.3 states/eV per cell
magnetization = 0.0 μB/cell
ΔE to the lowest computed polymorph = 0.000 eV per atom
E_form = -0.133 eV per atom

Entry 2:
Computed, not measured: LiSc2Zn6 after structural relaxation at the GGA-PBE level of DFT.

Cell lengths 7.6136, 7.6136, 3.0435 Å; angles 90.00, 90.00, 120.00 degrees
Closest atoms and distances in Å follow each position.
Atoms (fractional coordinates):
Li 0.0000 0.0000 0.0000  12 Zn 2.94, 2 Li 3.04
Sc 0.3333 0.6667 0.0000  12 Zn 2.97, 2 Sc 3.04
Sc 0.6667 0.3333 0.0000  12 Zn 2.97, 2 Sc 3.04
Zn 0.0000 0.3302 0.5000  3 Zn 2.51-2.59
Zn 0.0000 0.6698 0.5000  3 Zn 2.51-2.59
Zn 0.3302 0.0000 0.5000  3 Zn 2.51-2.59
Zn 0.3302 0.3302 0.5000  3 Zn 2.51-2.59
Zn 0.6698 0.0000 0.5000  3 Zn 2.51-2.59
Zn 0.6698 0.6698 0.5000  3 Zn 2.51-2.59

## Properties
SG = P6/mmm, No. 191
DOS at the Fermi energy = 4.3 states/eV per cell
magnetization = 0.0 μB/cell
E_form = -0.285 eV per atom

Entry 3:
Computed, not measured: LiZrSc after structural relaxation at the GGA-PBE level of DFT.

Cell lengths 6.8042, 6.8042, 6.4454 Å; angles 103.32, 103.32, 27.24 degrees
Closest atoms and distances in Å follow each position.
Atoms (fractional coordinates):
Li 0.0001 0.0001 0.2470  4 Sc 3.12-3.16, 4 Zr 3.14, 4 Li 3.18-3.26
Li 0.9999 0.9999 0.7530  4 Sc 3.12-3.16, 4 Zr 3.14, 4 Li 3.18-3.26
Zr 0.3300 0.3300 0.9176  4 Zr 3.04-3.20, 4 Sc 3.09-3.26, 4 Li 3.14
Zr 0.6700 0.6700 0.0824  4 Zr 3.04-3.20, 4 Sc 3.09-3.26, 4 Li 3.14
Sc 0.3322 0.3322 0.4126  4 Zr 3.09-3.26, 4 Sc 3.12-3.20, 4 Li 3.12-3.16
Sc 0.6678 0.6678 0.5874  4 Zr 3.09-3.26, 4 Sc 3.12-3.20, 4 Li 3.12-3.16

## Properties
SG = C2/m, No. 12
DOS at the Fermi energy = 6.5 states/eV per cell
magnetization = 0.0 μB/cell
ΔE to the lowest computed polymorph = 0.049 eV per atom
E_form = 0.100 eV per atom

Entry 4:
Computed, not measured: LiZrSc after structural relaxation at the GGA-PBE level of DFT.

Cell lengths 5.1357, 5.1357, 5.7366 Å; angles 90.00, 90.00, 120.00 degrees
Closest atoms and distances in Å follow each position.
Atoms (fractional coordinates):
Li 0.0000 0.0000 0.0000  2 Li 2.87
Li 0.0000 0.0000 0.5000  2 Li 2.87
Zr 0.3333 0.6667 0.2500  5 Sc 2.87-2.97
Zr 0.6667 0.3333 0.7500  5 Sc 2.87-2.97
Sc 0.3333 0.6667 0.7500  5 Zr 2.87-2.97
Sc 0.6667 0.3333 0.2500  5 Zr 2.87-2.97

## Properties
SG = P6_3/mmc, No. 194
DOS at the Fermi energy = 6.5 states/eV per cell
magnetization = 0.0 μB/cell
ΔE to the lowest computed polymorph = 0.398 eV per atom
E_form = 0.449 eV per atom

Entry 5:
Computed, not measured: Li2ZrSc after structural relaxation at the GGA-PBE level of DFT.

Cell lengths 4.8629, 4.8629, 3.3522 Å; angles 90.00, 90.00, 90.00 degrees
Closest atoms and distances in Å follow each position.
Atoms (fractional coordinates):
Li 0.0000 0.5000 0.0000  4 Sc 2.95, 4 Zr 2.95
Li 0.5000 0.0000 0.0000  4 Sc 2.95, 4 Zr 2.95
Zr 0.0000 0.0000 0.5000  8 Li 2.95
Sc 0.5000 0.5000 0.5000  8 Li 2.95

## Properties
SG = P4/mmm, No. 123
DOS at the Fermi energy = 4.7 states/eV per cell
magnetization = 0.0 μB/cell
ΔE to the lowest computed polymorph = 0.216 eV per atom
E_form = 0.298 eV per atom

Entry 6:
Computed, not measured: Li2ZrSc after structural relaxation at the GGA-PBE level of DFT.

Cell lengths 6.1289, 6.1289, 6.1289 Å; angles 149.82, 131.53, 58.17 degrees
Closest atoms and distances in Å follow each position.
Atoms (fractional coordinates):
Li 0.2474 0.2474 0.0000  6 Li 2.98-3.19, 2 Sc 3.09, 2 Zr 3.14
Li 0.7526 0.7526 0.0000  6 Li 2.98-3.19, 2 Sc 3.09, 2 Zr 3.14
Zr 0.5000 0.0000 0.5000  4 Sc 2.98, 4 Li 3.14, 2 Zr 3.19
Sc 0.0000 0.5000 0.5000  4 Zr 2.98, 4 Li 3.09, 2 Sc 3.19

## Properties
SG = Immm, No. 71
DOS at the Fermi energy = 5.5 states/eV per cell
magnetization = 0.0 μB/cell
ΔE to the lowest computed polymorph = 0.180 eV per atom
E_form = 0.262 eV per atom

Entry 7:
Computed, not measured: Li2ZrSc after structural relaxation at the GGA-PBE level of DFT.

Cell lengths 3.1042, 3.1042, 9.1770 Å; angles 90.00, 90.00, 90.00 degrees
Closest atoms and distances in Å follow each position.
Atoms (fractional coordinates):
Li 0.0000 0.0000 0.0000  8 Li 3.05-3.10, 4 Zr 3.27
Li 0.5000 0.5000 0.2302  8 Li 3.05-3.10, 4 Sc 3.30
Zr 0.5000 0.5000 0.7360  4 Sc 3.09, 4 Zr 3.10, 4 Li 3.27
Sc 0.0000 0.0000 0.4989  4 Zr 3.09, 4 Sc 3.10, 4 Li 3.30

## Properties
SG = P4mm, No. 99
DOS at the Fermi energy = 4.0 states/eV per cell
magnetization = 0.0 μB/cell
ΔE to the lowest computed polymorph = 0.000 eV per atom
E_form = 0.082 eV per atom

Entry 8:
Computed, not measured: LiZrSc after structural relaxation at the GGA-PBE level of DFT.

Cell lengths 3.1357, 6.0437, 7.8531 Å; angles 77.14, 78.70, 75.37 degrees
Closest atoms and distances in Å follow each position.
Atoms (fractional coordinates):
Li 0.0000 0.0000 0.0000  2 Zr 2.98-3.10, 5 Li 3.12-3.18, 4 Sc 3.17-3.32
Li 0.2920 0.4687 0.9939  5 Li 3.12-3.18, 4 Zr 3.27-3.44, 2 Sc 3.32-3.35
Zr 0.0497 0.3231 0.6337  4 Zr 3.00-3.14, 1 Li 3.10, 5 Sc 3.12-3.26
Zr 0.7670 0.1794 0.3383  3 Li 2.98-3.28, 4 Sc 2.99-3.21, 4 Zr 3.00-3.14
Sc 0.4925 0.6997 0.3449  5 Zr 3.05-3.26, 4 Sc 3.14-3.26, 2 Li 3.28-3.32
Sc 0.7537 0.8410 0.6806  4 Zr 2.99-3.20, 4 Sc 3.14-3.26, 4 Li 3.17-3.35

## Properties
SG = P1, No. 1
DOS at the Fermi energy = 6.6 states/eV per cell
magnetization = 0.0 μB/cell
ΔE to the lowest computed polymorph = 0.096 eV per atom
E_form = 0.146 eV per atom

Entry 9:
Computed, not measured: Li2ZrSc after structural relaxation at the GGA-PBE level of DFT.

Cell lengths 2.9629, 2.9629, 10.8256 Å; angles 90.00, 90.00, 114.33 degrees
Closest atoms and distances in Å follow each position.
Atoms (fractional coordinates):
Li 0.0000 0.0000 0.2494  6 Li 2.96-3.21, 2 Sc 3.14, 2 Zr 3.15
Li 0.0000 0.0000 0.7506  6 Li 2.96-3.21, 2 Sc 3.14, 2 Zr 3.15
Zr 0.5000 0.5000 0.5000  6 Zr 2.96-3.21, 4 Li 3.15
Sc 0.5000 0.5000 0.0000  6 Sc 2.96-3.21, 4 Li 3.14

## Properties
SG = Cmmm, No. 65
DOS at the Fermi energy = 3.8 states/eV per cell
magnetization = 0.0 μB/cell
ΔE to the lowest computed polymorph = 0.153 eV per atom
E_form = 0.235 eV per atom

Entry 10:
Computed, not measured: Li2ZrSc after structural relaxation at the GGA-PBE level of DFT.

Cell lengths 2.9239, 5.3208, 5.5402 Å; angles 90.00, 95.41, 90.00 degrees
Closest atoms and distances in Å follow each position.
Atoms (fractional coordinates):
Li 0.2199 0.0000 0.2454  5 Li 2.90-3.21, 2 Sc 3.11, 2 Zr 3.13
Li 0.7801 0.0000 0.7546  5 Li 2.90-3.21, 2 Sc 3.11, 2 Zr 3.13
Zr 0.5000 0.5000 0.0000  2 Zr 2.92, 4 Sc 3.01-3.25, 4 Li 3.13
Sc 0.0000 0.5000 0.5000  2 Sc 2.92, 4 Zr 3.01-3.25, 4 Li 3.11

## Properties
SG = P2/m, No. 10
DOS at the Fermi energy = 4.3 states/eV per cell
magnetization = 0.0 μB/cell
ΔE to the lowest computed polymorph = 0.163 eV per atom
E_form = 0.246 eV per atom

Entry 11:
Computed, not measured: Li2ZrSc after structural relaxation at the GGA-PBE level of DFT.

Cell lengths 6.1440, 6.1440, 2.9283 Å; angles 101.38, 101.38, 121.77 degrees
Closest atoms and distances in Å follow each position.
Atoms (fractional coordinates):
Li 0.0000 0.5000 0.0000  6 Li 2.93-3.23, 2 Zr 3.13, 2 Sc 3.13
Li 0.5000 0.0000 0.0000  6 Li 2.93-3.23, 2 Zr 3.13, 2 Sc 3.13
Zr 0.0000 0.0000 0.5000  2 Zr 2.93, 4 Sc 2.99-3.23, 4 Li 3.13
Sc 0.5000 0.5000 0.5000  2 Sc 2.93, 4 Zr 2.99-3.23, 4 Li 3.13

## Properties
SG = C2/m, No. 12
DOS at the Fermi energy = 3.7 states/eV per cell
magnetization = 0.0 μB/cell
ΔE to the lowest computed polymorph = 0.160 eV per atom
E_form = 0.242 eV per atom

Entry 12:
Computed, not measured: LiZrSc after structural relaxation at the GGA-PBE level of DFT.

Cell lengths 3.1725, 3.1725, 13.6816 Å; angles 90.00, 90.00, 90.00 degrees
Closest atoms and distances in Å follow each position.
Atoms (fractional coordinates):
Li 0.2500 0.2500 0.0750  8 Li 3.04-3.17, 4 Sc 3.31
Li 0.7500 0.7500 0.9250  8 Li 3.04-3.17, 4 Sc 3.31
Zr 0.2500 0.2500 0.4137  4 Sc 3.14, 8 Zr 3.17-3.26
Zr 0.7500 0.7500 0.5863  4 Sc 3.14, 8 Zr 3.17-3.26
Sc 0.2500 0.2500 0.7471  4 Zr 3.14, 4 Sc 3.17, 4 Li 3.31
Sc 0.7500 0.7500 0.2529  4 Zr 3.14, 4 Sc 3.17, 4 Li 3.31

## Properties
SG = P4/nmm, No. 129
DOS at the Fermi energy = 6.2 states/eV per cell
magnetization = 0.0 μB/cell
ΔE to the lowest computed polymorph = 0.000 eV per atom
E_form = 0.050 eV per atom

Entry 13:
Computed, not measured: Li2ZrSc after structural relaxation at the GGA-PBE level of DFT.

Cell lengths 3.2356, 5.0323, 5.2468 Å; angles 90.00, 90.00, 90.00 degrees
Closest atoms and distances in Å follow each position.
Atoms (fractional coordinates):
Li 0.0000 0.0000 0.0000  6 Li 2.99-3.24, 4 Sc 3.08
Li 0.5000 0.5000 0.0000  6 Li 2.99-3.24, 4 Zr 3.08
Zr 0.0000 0.5000 0.5000  4 Sc 2.99, 4 Li 3.08, 2 Zr 3.24
Sc 0.5000 0.0000 0.5000  4 Zr 2.99, 4 Li 3.08, 2 Sc 3.24

## Properties
SG = Pmmm, No. 47
DOS at the Fermi energy = 4.6 states/eV per cell
magnetization = 0.0 μB/cell
ΔE to the lowest computed polymorph = 0.175 eV per atom
E_form = 0.258 eV per atom

Entry 14:
Computed, not measured: LiZrSc after structural relaxation at the GGA-PBE level of DFT.

Cell lengths 3.2489, 5.1033, 8.1964 Å; angles 82.64, 78.71, 89.91 degrees
Closest atoms and distances in Å follow each position.
Atoms (fractional coordinates):
Li 0.0638 0.2013 0.3764  1 Li 2.67
Li 0.9362 0.7987 0.6236  1 Li 2.67
Zr 0.2715 0.7595 0.9534  2 Li 3.09-3.10, 6 Zr 3.11-3.25, 4 Sc 3.16-3.23
Zr 0.7285 0.2405 0.0466  2 Li 3.09-3.10, 6 Zr 3.11-3.25, 4 Sc 3.16-3.23
Sc 0.3974 0.3072 0.7066  6 Li 2.99-3.22, 4 Zr 3.16-3.23, 2 Sc 3.25
Sc 0.6026 0.6928 0.2934  6 Li 2.99-3.22, 4 Zr 3.16-3.23, 2 Sc 3.25

## Properties
SG = P-1, No. 2
DOS at the Fermi energy = 6.9 states/eV per cell
magnetization = 0.0 μB/cell
ΔE to the lowest computed polymorph = 0.042 eV per atom
E_form = 0.093 eV per atom

Entry 15:
Computed, not measured: Li2ZrSc after structural relaxation at the GGA-PBE level of DFT.

Cell lengths 2.9724, 4.7251, 6.1571 Å; angles 90.00, 103.89, 90.00 degrees
Closest atoms and distances in Å follow each position.
Atoms (fractional coordinates):
Li 0.0000 0.0000 0.0000  4 Li 2.80-2.97, 1 Sc 2.99, 2 Zr 3.13
Li 0.1538 0.5000 0.2509  4 Li 2.80-2.97, 1 Zr 3.03
Zr 0.3897 0.5000 0.7576  2 Zr 2.97, 7 Li 3.03-3.33, 4 Sc 3.19
Sc 0.7642 0.0000 0.4991  2 Sc 2.97, 6 Li 2.99-3.31, 4 Zr 3.19

## Properties
SG = Pm, No. 6
DOS at the Fermi energy = 4.2 states/eV per cell
magnetization = 0.0 μB/cell
ΔE to the lowest computed polymorph = 0.148 eV per atom
E_form = 0.230 eV per atom

Entry 16:
Computed, not measured: LiZrSc after structural relaxation at the GGA-PBE level of DFT.

Cell lengths 8.2111, 8.2111, 5.5117 Å; angles 97.05, 97.05, 22.08 degrees
Closest atoms and distances in Å follow each position.
Atoms (fractional coordinates):
Li 0.0000 0.0000 0.0000  6 Li 3.14-3.18, 3 Sc 3.25-3.29, 3 Zr 3.33-3.40
Li 0.5041 0.5041 0.5006  6 Li 3.14-3.18, 3 Sc 3.26-3.30, 3 Zr 3.30-3.37
Zr 0.1773 0.1773 0.7237  3 Zr 2.99-3.14, 6 Sc 3.08-3.19, 2 Li 3.30
Zr 0.3263 0.3263 0.1074  3 Zr 2.99-3.14, 6 Sc 3.09-3.19, 2 Li 3.33
Sc 0.6715 0.6715 0.2257  6 Zr 3.09-3.19, 3 Sc 3.12-3.14, 3 Li 3.26-3.29
Sc 0.8321 0.8321 0.6070  6 Zr 3.08-3.19, 3 Sc 3.12-3.14, 3 Li 3.25-3.30

## Properties
SG = Cm, No. 8
DOS at the Fermi energy = 6.7 states/eV per cell
magnetization = 0.0 μB/cell
ΔE to the lowest computed polymorph = 0.066 eV per atom
E_form = 0.116 eV per atom

Entry 17:
Computed, not measured: LiZrSc3 after structural relaxation at the GGA-PBE level of DFT.

Cell lengths 4.9020, 4.9020, 4.9020 Å; angles 90.00, 90.00, 90.00 degrees
Closest atoms and distances in Å follow each position.
Atoms (fractional coordinates):
Li 0.0000 0.0000 0.0000  6 Sc 2.45
Zr 0.5000 0.5000 0.5000  12 Sc 3.47
Sc 0.0000 0.0000 0.5000  2 Li 2.45
Sc 0.0000 0.5000 0.0000  2 Li 2.45
Sc 0.5000 0.0000 0.0000  2 Li 2.45

## Properties
SG = Pm-3m, No. 221
DOS at the Fermi energy = 5.2 states/eV per cell
magnetization = 0.0 μB/cell
ΔE to the lowest computed polymorph = 0.000 eV per atom
E_form = 0.577 eV per atom

Entry 18:
Computed, not measured: LiZrSc after structural relaxation at the GGA-PBE level of DFT.

Cell lengths 3.0538, 4.9989, 8.5750 Å; angles 90.00, 90.00, 90.00 degrees
Closest atoms and distances in Å follow each position.
Atoms (fractional coordinates):
Li 0.0000 0.0000 0.0000  2 Li 3.05, 6 Sc 3.06-3.20, 3 Zr 3.09-3.21
Li 0.5000 0.5000 0.4873  3 Sc 2.90-3.05, 6 Zr 2.95-3.13, 2 Li 3.05
Zr 0.0000 0.0000 0.3599  4 Zr 3.05-3.07, 5 Li 3.09-3.13
Zr 0.5000 0.0000 0.6702  4 Li 2.95-3.21, 4 Zr 3.05-3.07, 4 Sc 3.12
Sc 0.0000 0.5000 0.7949  4 Li 3.05-3.06, 4 Sc 3.05-3.40, 4 Zr 3.12
Sc 0.5000 0.5000 0.1489  5 Li 2.90-3.20, 2 Sc 3.05

## Properties
SG = Pmm2, No. 25
DOS at the Fermi energy = 7.6 states/eV per cell
magnetization = 0.0 μB/cell
ΔE to the lowest computed polymorph = 0.178 eV per atom
E_form = 0.228 eV per atom

Entry 19:
Computed, not measured: LiZrSc after structural relaxation at the GGA-PBE level of DFT.

Cell lengths 6.9019, 6.9019, 4.5147 Å; angles 90.00, 90.00, 141.72 degrees
Closest atoms and distances in Å follow each position.
Atoms (fractional coordinates):
Li 0.2501 0.7499 0.7500  4 Sc 3.14-3.15, 4 Zr 3.19, 4 Li 3.20
Li 0.7499 0.2501 0.2500  4 Sc 3.14-3.15, 4 Zr 3.19, 4 Li 3.20
Zr 0.0773 0.9227 0.2500  2 Zr 3.03, 6 Sc 3.07-3.20, 4 Li 3.19
Zr 0.9227 0.0773 0.7500  2 Zr 3.03, 6 Sc 3.07-3.20, 4 Li 3.19
Sc 0.4177 0.5823 0.2500  6 Zr 3.07-3.20, 2 Sc 3.12, 4 Li 3.14-3.15
Sc 0.5823 0.4177 0.7500  6 Zr 3.07-3.20, 2 Sc 3.12, 4 Li 3.14-3.15

## Properties
SG = Cmcm, No. 63
DOS at the Fermi energy = 6.2 states/eV per cell
magnetization = 0.0 μB/cell
ΔE to the lowest computed polymorph = 0.047 eV per atom
E_form = 0.097 eV per atom

Entry 20:
Computed, not measured: LiZrSc after structural relaxation at the GGA-PBE level of DFT.

Cell lengths 4.0186, 4.0186, 10.4780 Å; angles 90.00, 90.00, 120.00 degrees
Closest atoms and distances in Å follow each position.
Atoms (fractional coordinates):
Li 0.3333 0.6667 0.2500  3 Sc 2.32
Li 0.6667 0.3333 0.7500  3 Sc 2.32
Zr 0.0000 0.0000 0.0000  2 Sc 2.62
Zr 0.0000 0.0000 0.5000  2 Sc 2.62
Sc 0.0000 0.0000 0.2500  3 Li 2.32
Sc 0.0000 0.0000 0.7500  3 Li 2.32

## Properties
SG = P6_3/mmc, No. 194
DOS at the Fermi energy = 8.1 states/eV per cell
magnetization = 0.0 μB/cell
ΔE to the lowest computed polymorph = 1.403 eV per atom
E_form = 1.453 eV per atom